Record 1
# CaSb2Mo PBE-GGA relaxed
# Spin magnetization ... 0.00 μB/f.u.
# Formation energy without anion corrections ... 89.5 kJ/mol of formula units
# ΔE to the lowest computed polymorph ... 474 meV per atom
data_CaSb2Mo
_cell_length_a 3.1059
_cell_length_b 3.1059
_cell_length_c 10.8857
_cell_angle_alpha 90.00
_cell_angle_beta 90.00
_cell_angle_gamma 101.40
_symmetry_space_group_name_H-M 'P 1'
_symmetry_Int_Tables_number 1
_symmetry_space_group_name_Hall 'P 1'
loop_
_atom_site_label
_atom_site_type_symbol
_atom_site_fract_x
_atom_site_fract_y
_atom_site_fract_z
Sb1 Sb 0.0000 0.0000 0.9359
Ca1 Ca 0.0000 0.0000 0.5264
Sb2 Sb 0.5000 0.5000 0.2849
Mo1 Mo 0.5000 0.5000 0.7528


Record 2
# TaGa PBE-GGA relaxed
# Spin magnetization ... 0.00 μB/f.u.
# E_form ... 44 kJ/mol of formula units
data_TaGa
_cell_length_a 5.2442
_cell_length_b 5.2442
_cell_length_c 5.2442
_cell_angle_alpha 90.00
_cell_angle_beta 90.00
_cell_angle_gamma 90.00
_symmetry_space_group_name_H-M 'P 1'
_symmetry_Int_Tables_number 1
_symmetry_space_group_name_Hall 'P 1'
loop_
_atom_site_label
_atom_site_type_symbol
_atom_site_fract_x
_atom_site_fract_y
_atom_site_fract_z
Ta1 Ta 0.0000 0.5000 0.0000
Ta2 Ta 0.5000 0.5000 0.5000
Ga1 Ga 0.5000 0.5000 0.0000
Ta3 Ta 0.5000 0.0000 0.0000
Ga2 Ga 0.5000 0.0000 0.5000
Ta4 Ta 0.0000 0.0000 0.5000
Ga3 Ga 0.0000 0.5000 0.5000
Ga4 Ga 0.0000 0.0000 0.0000


Number 1: total energy -5.04 eV per atom. Number 2: total energy -7.21 eV per atom.